VASP calculation (PBE) on a relaxed structure of CoTeIr2.

* calculated density: 15.2 g cm⁻³
* Fermi-level density of states: 3.91 states/eV/cell
* uncorrected formation energy: 11.1 kcal/mol of atoms
* total DFT energy (no corrections): -26.0 eV per cell
* size of the total moment: 0.65 μB per formula unit
* energy above the lowest structure with this stoichiometry: 0.1360 eV per atom

The structure in extended XYZ format:
```
4
Lattice="2.756 -3.723 0.000 2.756 3.723 0.000 0.000 0.000 3.040" Properties=species:S:1:pos:R:3 pbc="T T T"
Co 0.000 0.000 0.000
Te 2.756 0.000 0.000
Ir 1.378 1.861 1.520
Ir 1.378 -1.861 1.520
```